Material: MgTcNi2
Method: DFT, GGA-PBEsol
State: relaxed

Calculated values
Formation energy, eV per atom: 0.033
Raw total energy, eV per atom: -6.292
DOS at the Fermi energy, states/eV per cell: 4.0
Space group: Pmmm

extended XYZ file:
```
4
Lattice="-0.760 -1.840 -1.684 3.053 0.479 -1.900 2.466 -3.775 3.011" Properties=species:S:1:pos:R:3 pbc="T T T"
Tc 1.147 -0.680 -1.792
Mg 2.379 -2.568 -0.286
Ni -0.207 -2.686 -1.009
Ni 1.913 -2.928 2.336
```